A relaxed structure of LiHfO, computed with PBE-GGA. Values from VASP.

Quantum ESPRESSO input file:
```
&SYSTEM
  ibrav = 0, nat = 6, ntyp = 3
/
ATOMIC_SPECIES
Li 6.94 Li.upf
Hf 178.49 Hf.upf
O 16.00 O.upf
ATOMIC_POSITIONS angstrom
Li 0.000 0.000 0.000
Li 3.688 0.000 1.493
Hf 0.024 0.000 6.384
Hf 1.850 0.000 3.816
O 1.849 0.000 1.817
O 1.867 0.000 7.841
CELL_PARAMETERS angstrom
2.762 -1.591 0.000
2.762 1.591 0.000
-1.816 0.000 8.652
```

Magnetic moment in μB/atom: 0.000
N(E_F) in states/eV per atom: 0.301
Formation energy from raw total energies in eV per atom: -1.6478
Calculated total energy in eV per formula unit: -21.769
Excess energy over the best structure of this formula in the dataset in meV per atom: 128